{"formula": "BaBeRu", "functional": "PBE", "state": "optimized geometry", "cell": [[6.471, 0.000, 0.000], [0.000, 6.471, 0.000], [0.000, 0.000, 6.471]], "species": ["Ba", "Ba", "Ba", "Ba", "Be", "Be", "Be", "Be", "Ru", "Ru", "Ru", "Ru"], "frac_coords": [[0.000, 0.000, 0.000], [0.000, 0.500, 0.500], [0.500, 0.000, 0.500], [0.500, 0.500, 0.000], [0.250, 0.250, 0.250], [0.250, 0.750, 0.750], [0.750, 0.250, 0.750], [0.750, 0.750, 0.250], [0.000, 0.000, 0.500], [0.000, 0.500, 0.000], [0.500, 0.000, 0.000], [0.500, 0.500, 0.500]], "ef_mev_per_atom": 1016, "e_above_lowest_polymorph_mev_per_atom": 738.4, "sg": "F-43m, No. 216"}